Computed, not measured: YMnRe2 after structural relaxation at the PBE level of DFT.

Cell: 5.569 5.569 5.569 Å, 149.59 130.80 58.94°
Sites, in units of the cell vectors:
Y  0.000  0.000  0.000
Mn  0.500  0.500  0.000
Re  0.285  0.785  0.500
Re  0.715  0.215  0.500

Output
The value obtained for the energy of formation is 0.328 eV per atom. Its space-group type is Immm (71). The calculation puts the mass density at 13.06 g/cm3.